[1]
Material: MgZnW4
Method: DFT, PBE
State: relaxed Values from VASP.

Summary:
Magnetization, μB/f.u.: 0.00
DOS(E_F), states/eV per cell: 7.98
SG: F-43m (216)
Electronic total energy, eV/cell: -50.87
DFT formation energy, kJ/mol of atoms: 61

```
&SYSTEM
  ibrav = 0, nat = 6, ntyp = 3
/
ATOMIC_SPECIES
W 183.84 W.upf
Mg 24.30 Mg.upf
Zn 65.41 Zn.upf
CELL_PARAMETERS angstrom
5.0506 -0.9686 -1.4074
2.2957 -4.6267 1.3234
1.0707 -3.6183 -3.7668
ATOMIC_POSITIONS crystal
W 0.6249 0.6249 0.6249
W 0.1252 0.6249 0.6249
W 0.6249 0.1252 0.6249
W 0.6249 0.6249 0.1252
Mg 0.0000 0.0000 0.0000
Zn 0.2500 0.2500 0.2500
```

***

[2]
Material: Cs2ZnCuCl6
Method: DFT, PBE
State: relaxed Values from VASP.

Summary:
Magnetization, μB/f.u.: 1.02
DOS(E_F), states/eV per cell: 8.74
Energy relative to the elements, uncorrected, eV per atom: -1.2623
SG: R-3m (166)
E above lowest polymorph, meV per atom: 22.0
Electronic total energy, eV/cell: -61.56

```
&SYSTEM
  ibrav = 0, nat = 20, ntyp = 4
/
ATOMIC_SPECIES
Zn 65.41 Zn.upf
Cu 63.55 Cu.upf
Cs 132.91 Cs.upf
Cl 35.45 Cl.upf
CELL_PARAMETERS angstrom
-1.8996 -3.4463 -6.0918
3.2281 -6.2420 -1.7922
-7.8743 -9.2540 3.3738
ATOMIC_POSITIONS crystal
Zn 0.5890 0.5890 0.2330
Zn 0.4110 0.4110 0.7670
Cu 0.5000 0.5000 0.5000
Cu 0.0000 0.0000 0.0000
Cs 0.2916 0.2916 0.1251
Cs 0.7084 0.7084 0.8749
Cs 0.8752 0.8752 0.3744
Cs 0.1248 0.1248 0.6256
Cl 0.2063 0.2063 0.8782
Cl 0.7092 0.2063 0.8782
Cl 0.6098 0.1536 0.6268
Cl 0.3902 0.8464 0.3732
Cl 0.8464 0.3902 0.3732
Cl 0.3902 0.3902 0.3732
Cl 0.7937 0.2908 0.1218
Cl 0.6098 0.6098 0.6268
Cl 0.1536 0.6098 0.6268
Cl 0.2908 0.7937 0.1218
Cl 0.2063 0.7092 0.8782
Cl 0.7937 0.7937 0.1218
```